Entry 1:
Cr2CuSi: optimized geometry, PBE.

**Density**: 6.898 Mg/m³
**Spin magnetization**: 0.000 μB per formula unit
**Volume**: 11.8 A^3/atom
**Raw formation energy**: 0.031 eV/atom
**Symmetry**: Immm (71)
**Energy**: -7.160 eV/atom

a b c (Å): 4.681 4.681 4.681
angles (deg): 141.39 131.85 63.35
Element x y z (fractional)
Cr: 0.245 0.245 0.000
Cr: 0.755 0.755 0.000
Cu: 0.500 0.000 0.500
Si: 0.000 0.500 0.500



Entry 2:
Ca2CoPt: optimized geometry, PBE.

**Density**: 6.537 Mg/m³
**Spin magnetization**: 0.972 μB per formula unit
**Energy of formation from the pure elements**: 45 meV/atom
**Volume**: 21.2 A^3/atom
**Symmetry**: Pmm2 (25)
**Energy**: -4.242 eV/atom

a b c (Å): 3.051 4.834 5.756
angles (deg): 90.00 90.00 90.00
Element x y z (fractional)
Ca: 0.000 0.000 0.000
Ca: 0.500 0.500 0.386
Co: 0.000 0.000 0.517
Pt: 0.500 0.500 0.872



Entry 3:
Sc8InBi2: optimized geometry, PBE.

**Density**: 5.339 Mg/m³
**Spin magnetization**: 1.817 μB per formula unit
**Energy of formation from the pure elements**: -215 meV/atom
**Volume**: 25.2 A^3/atom
**Symmetry**: C2/m (12)
**Energy**: -5.774 eV/atom

a b c (Å): 7.907 7.907 5.491
angles (deg): 101.10 101.10 119.07
Element x y z (fractional)
Sc: 0.098 0.317 0.652
Sc: 0.222 0.778 0.000
Sc: 0.317 0.098 0.652
Sc: 0.406 0.406 0.200
Sc: 0.594 0.594 0.800
Sc: 0.683 0.902 0.348
Sc: 0.778 0.222 0.000
Sc: 0.902 0.683 0.348
In: 0.000 0.000 0.000
Bi: 0.304 0.696 0.500
Bi: 0.696 0.304 0.500



Entry 4:
MnPt2W: optimized geometry, PBE.

**Density**: 17.231 Mg/m³
**Spin magnetization**: 3.329 μB per formula unit
**Energy of formation from the pure elements**: -154 meV/atom
**Volume**: 15.2 A^3/atom
**Energy relative to the lowest polymorph listed for this composition**: 138 meV per atom
**Symmetry**: P4mm (99)
**Energy**: -8.706 eV/atom

a b c (Å): 2.761 2.761 7.949
angles (deg): 90.00 90.00 90.00
Element x y z (fractional)
Mn: 0.000 0.000 0.000
Pt: 0.000 0.000 0.507
Pt: 0.500 0.500 0.235
W: 0.500 0.500 0.754



Entry 5:
RuSe2Cl2: optimized geometry, PBE.

**Density**: 3.773 Mg/m³
**Spin magnetization**: 3.000 μB per formula unit
**Volume**: 29.0 A^3/atom
**Energy relative to the lowest polymorph listed for this composition**: 0 meV per atom
**Raw formation energy**: 0.260 eV/atom
**Symmetry**: P4/mbm (127)
**Energy**: -3.728 eV/atom

a b c (Å): 6.315 6.315 7.281
angles (deg): 90.00 90.00 90.00
Element x y z (fractional)
Ru: 0.000 0.000 0.000
Ru: 0.500 0.500 0.000
Se: 0.125 0.375 0.500
Se: 0.375 0.875 0.500
Se: 0.625 0.125 0.500
Se: 0.875 0.625 0.500
Cl: 0.176 0.676 0.000
Cl: 0.324 0.176 0.000
Cl: 0.676 0.824 0.000
Cl: 0.824 0.324 0.000



Entry 6:
PmCo2GeC: optimized geometry, PBE.

**Density**: 8.062 Mg/m³
**Spin magnetization**: 0.000 μB per formula unit
**Energy of formation from the pure elements**: -436 meV/atom
**Volume**: 14.3 A^3/atom
**Symmetry**: Cmcm (63)
**Energy**: -6.997 eV/atom

a b c (Å): 5.689 5.689 6.914
angles (deg): 90.00 90.00 140.22
Element x y z (fractional)
Pm: 0.053 0.947 0.750
Pm: 0.947 0.053 0.250
Co: 0.340 0.660 0.557
Co: 0.340 0.660 0.943
Co: 0.660 0.340 0.057
Co: 0.660 0.340 0.443
Ge: 0.227 0.773 0.250
Ge: 0.773 0.227 0.750
C: 0.500 0.500 0.000
C: 0.500 0.500 0.500



Entry 7:
NaSr2C: optimized geometry, PBE.

**Density**: 2.373 Mg/m³
**Spin magnetization**: 0.780 μB per formula unit
**Energy of formation from the pure elements**: 615 meV/atom
**Volume**: 36.8 A^3/atom
**Symmetry**: I-42d (122)
**Energy**: -2.862 eV/atom

a b c (Å): 7.260 7.260 7.260
angles (deg): 110.59 110.59 107.25
Element x y z (fractional)
Na: 0.000 0.000 0.000
Na: 0.750 0.250 0.500
Sr: 0.245 0.625 0.120
Sr: 0.375 0.495 0.620
Sr: 0.505 0.125 0.880
Sr: 0.875 0.755 0.380
C: 0.250 0.750 0.500
C: 0.500 0.500 0.000



Entry 8:
ScBi3F: optimized geometry, PBE.

**Density**: 8.902 Mg/m³
**Spin magnetization**: 0.000 μB per formula unit
**Volume**: 25.8 A^3/atom
**Energy relative to the lowest polymorph listed for this composition**: 0 meV per atom
**Raw formation energy**: -0.497 eV/atom
**Symmetry**: Pm-3m (221)
**Energy**: -4.467 eV/atom

a b c (Å): 5.051 5.051 5.051
angles (deg): 90.00 90.00 90.00
Element x y z (fractional)
Sc: 0.000 0.000 0.000
Bi: 0.000 0.500 0.500
Bi: 0.500 0.000 0.500
Bi: 0.500 0.500 0.000
F: 0.500 0.500 0.500



Entry 9:
FeSi2Cl: optimized geometry, PBE.

**Density**: 3.898 Mg/m³
**Spin magnetization**: 2.366 μB per formula unit
**Volume**: 15.7 A^3/atom
**Energy relative to the lowest polymorph listed for this composition**: 262 meV per atom
**Raw formation energy**: 0.359 eV/atom
**Symmetry**: Immm (71)
**Energy**: -4.930 eV/atom

a b c (Å): 6.033 6.033 6.033
angles (deg): 153.58 139.80 48.75
Element x y z (fractional)
Fe: 0.000 0.000 0.000
Si: 0.201 0.701 0.500
Si: 0.799 0.299 0.500
Cl: 0.500 0.500 0.000



Entry 10:
Er2TmTl3S6: optimized geometry, PBE.

**Density**: 6.989 Mg/m³
**Spin magnetization**: 0.000 μB per formula unit
**Volume**: 25.9 A^3/atom
**Raw formation energy**: -1.490 eV/atom
**Symmetry**: C2/m (12)
**Energy**: -5.278 eV/atom

a b c (Å): 6.908 6.908 7.870
angles (deg): 98.41 98.41 120.01
Element x y z (fractional)
Er: 0.167 0.833 0.000
Er: 0.833 0.167 0.000
Tm: 0.500 0.500 0.000
Tl: 0.000 0.000 0.500
Tl: 0.333 0.667 0.500
Tl: 0.667 0.333 0.500
S: 0.103 0.435 0.804
S: 0.233 0.233 0.196
S: 0.435 0.103 0.804
S: 0.565 0.897 0.196
S: 0.767 0.767 0.804
S: 0.897 0.565 0.196



Entry 11:
Li2AcGa: optimized geometry, PBE.

**Density**: 5.260 Mg/m³
**Spin magnetization**: 0.000 μB per formula unit
**Energy of formation from the pure elements**: -231 meV/atom
**Volume**: 24.5 A^3/atom
**Symmetry**: Pmmn (59)
**Energy**: -2.972 eV/atom

a b c (Å): 4.775 6.075 6.760
angles (deg): 90.00 90.00 90.00
Element x y z (fractional)
Li: 0.250 0.026 0.098
Li: 0.250 0.474 0.098
Li: 0.750 0.526 0.902
Li: 0.750 0.974 0.902
Ac: 0.250 0.250 0.585
Ac: 0.750 0.750 0.415
Ga: 0.250 0.750 0.777
Ga: 0.750 0.250 0.223



Entry 12:
CuRu2Cl: optimized geometry, PBE.

**Density**: 8.620 Mg/m³
**Spin magnetization**: 0.000 μB per formula unit
**Volume**: 14.5 A^3/atom
**Energy relative to the lowest polymorph listed for this composition**: 620 meV per atom
**Raw formation energy**: 0.865 eV/atom
**Symmetry**: Imm2 (44)
**Energy**: -5.259 eV/atom

a b c (Å): 4.344 4.344 4.344
angles (deg): 119.97 119.93 90.08
Element x y z (fractional)
Cu: 0.000 0.000 0.000
Ru: 0.499 0.499 0.000
Ru: 0.750 0.250 0.500
Cl: 0.250 0.750 0.500



- Number 2 is which compound?
  Ca2CoPt